Sr2TlTe2 | PBE | optimized geometry

Computed properties:
For the total magnetization, the calculation gives 0.00 μB/f.u. Its space group is P4/mbm.

a = 9.0626 Å, b = 9.0626 Å, c = 4.3246 Å
α = 90.00°, β = 90.00°, γ = 90.00°
Atoms (fractional coordinates):
Sr (0.8462, 0.3462, 0.5000)
Te (0.3500, 0.8500, 0.0000)
Sr (0.1538, 0.6538, 0.5000)
Te (0.6500, 0.1500, 0.0000)
Sr (0.3462, 0.1538, 0.5000)
Sr (0.6538, 0.8462, 0.5000)
Te (0.1500, 0.3500, 0.0000)
Te (0.8500, 0.6500, 0.0000)
Tl (0.0000, 0.0000, 0.0000)
Tl (0.5000, 0.5000, 0.0000)

=====

Sr2TlTe2 | PBE | optimized geometry

Computed properties:
For the total magnetization, the calculation gives 0.00 μB/f.u. Its space group is I4/mmm.

a = 5.6194 Å, b = 5.6194 Å, c = 8.2563 Å
α = 70.10°, β = 70.10°, γ = 90.00°
Atoms (fractional coordinates):
Tl (0.0000, 0.0000, 0.0000)
Te (0.6364, 0.6364, 0.7273)
Te (0.3636, 0.3636, 0.2727)
Sr (0.2500, 0.7500, 0.5000)
Sr (0.7500, 0.2500, 0.5000)

=====

Sr2TlTe | PBE | optimized geometry

Computed properties:
For the total magnetization, the calculation gives 0.67 μB/f.u. Its space group is Imm2.

a = 9.1807 Å, b = 9.1807 Å, c = 9.1807 Å
α = 153.51°, β = 152.53°, γ = 38.53°
Atoms (fractional coordinates):
Te (0.4565, 0.4565, 0.0000)
Tl (0.7008, 0.2008, 0.5000)
Sr (0.0376, 0.0376, 0.0000)
Sr (0.3051, 0.8051, 0.5000)

=====

Sr2TlTe | PBE | optimized geometry

Computed properties:
For the total magnetization, the calculation gives 0.59 μB/f.u. Its space group is C2/m.

a = 4.4919 Å, b = 4.4919 Å, c = 9.3349 Å
α = 76.13°, β = 76.13°, γ = 59.96°
Atoms (fractional coordinates):
Sr (0.0080, 0.0080, 0.9771)
Tl (0.2500, 0.2500, 0.2500)
Te (0.7500, 0.7500, 0.7500)
Sr (0.4920, 0.4920, 0.5229)

=====

Sr2TlTe | PBE | optimized geometry

Computed properties:
For the total magnetization, the calculation gives 0.00 μB/f.u. Its space group is P4/mmm.

a = 4.1309 Å, b = 4.1381 Å, c = 9.0676 Å
α = 62.86°, β = 90.00°, γ = 90.00°
Atoms (fractional coordinates):
Te (0.5000, 0.2500, 0.2500)
Sr (0.0000, 0.5087, 0.4918)
Sr (0.0000, 0.9913, 0.0082)
Tl (0.5000, 0.7500, 0.7500)

=====

SrTl3Te | PBE | optimized geometry

Computed properties:
For the total magnetization, the calculation gives 0.00 μB/f.u. Its space group is Pm-3m.

a = 6.1809 Å, b = 6.1809 Å, c = 6.1809 Å
α = 90.00°, β = 90.00°, γ = 90.00°
Atoms (fractional coordinates):
Tl (0.0000, 0.5000, 0.0000)
Tl (0.5000, 0.0000, 0.0000)
Sr (0.0000, 0.0000, 0.0000)
Tl (0.0000, 0.0000, 0.5000)
Te (0.5000, 0.5000, 0.5000)

=====

Sr2TlTe | PBE | optimized geometry

Computed properties:
For the total magnetization, the calculation gives 0.00 μB/f.u. Its space group is Fm-3m.

a = 5.8104 Å, b = 5.8104 Å, c = 5.8104 Å
α = 60.00°, β = 60.00°, γ = 60.00°
Atoms (fractional coordinates):
Tl (0.5000, 0.5000, 0.5000)
Sr (0.2500, 0.2500, 0.2500)
Te (0.0000, 0.0000, 0.0000)
Sr (0.7500, 0.7500, 0.7500)

=====

SrTlTe3 | PBE | optimized geometry

Computed properties:
For the total magnetization, the calculation gives 0.00 μB/f.u. Its space group is Pm-3m.

a = 6.1791 Å, b = 6.1791 Å, c = 6.1791 Å
α = 90.00°, β = 90.00°, γ = 90.00°
Atoms (fractional coordinates):
Te (0.0000, 0.5000, 0.0000)
Te (0.5000, 0.0000, 0.0000)
Sr (0.0000, 0.0000, 0.0000)
Te (0.0000, 0.0000, 0.5000)
Tl (0.5000, 0.5000, 0.5000)

=====

SrTl12Te7 | PBE | optimized geometry

Computed properties:
For the total magnetization, the calculation gives 0.00 μB/f.u. Its space group is R-3.

a = 11.9919 Å, b = 9.7246 Å, c = 9.7246 Å
α = 104.27°, β = 114.27°, γ = 114.27°
Atoms (fractional coordinates):
Sr (0.0000, 0.0000, 0.0000)
Te (0.5000, 0.0000, 0.0000)
Tl (0.1600, 0.6751, 0.7914)
Te (0.9881, 0.1361, 0.3459)
Tl (0.0917, 0.2668, 0.7604)
Tl (0.4849, 0.1163, 0.3249)
Tl (0.8400, 0.3249, 0.2086)
Tl (0.6314, 0.7914, 0.1163)
Te (0.6423, 0.6541, 0.7902)
Te (0.0119, 0.8639, 0.6541)
Tl (0.3686, 0.2086, 0.8837)
Te (0.1480, 0.7902, 0.1361)
Tl (0.8249, 0.4936, 0.7332)
Tl (0.5151, 0.8837, 0.6751)
Tl (0.1751, 0.5064, 0.2668)
Te (0.3577, 0.3459, 0.2098)
Tl (0.9083, 0.7332, 0.2396)
Tl (0.3313, 0.2396, 0.5064)
Te (0.8520, 0.2098, 0.8639)
Tl (0.6687, 0.7604, 0.4936)

=====

Sr2TlTe | PBE | optimized geometry

Computed properties:
For the total magnetization, the calculation gives 0.00 μB/f.u. Its space group is I4/mmm.

a = 6.0500 Å, b = 6.0500 Å, c = 6.0500 Å
α = 126.94°, β = 126.94°, γ = 78.35°
Atoms (fractional coordinates):
Te (0.2500, 0.7500, 0.5000)
Tl (0.7500, 0.2500, 0.5000)
Sr (0.5000, 0.5000, 0.0000)
Sr (0.0000, 0.0000, 0.0000)

=====

SrTl2Te5 | PBE | optimized geometry

Computed properties:
For the total magnetization, the calculation gives 0.00 μB/f.u. Its space group is Cmcm.

a = 5.0254 Å, b = 6.4404 Å, c = 22.3024 Å
α = 90.00°, β = 90.00°, γ = 112.96°
Atoms (fractional coordinates):
Te (0.5253, 0.0507, 0.9002)
Tl (0.7624, 0.5249, 0.3942)
Te (0.0602, 0.1203, 0.1501)
Tl (0.7624, 0.5249, 0.1058)
Sr (0.5718, 0.1436, 0.7500)
Te (0.5253, 0.0507, 0.5998)
Te (0.9398, 0.8797, 0.6501)
Tl (0.2376, 0.4751, 0.6058)
Te (0.9398, 0.8797, 0.8499)
Te (0.2761, 0.5522, 0.7500)
Te (0.0602, 0.1203, 0.3499)
Te (0.7239, 0.4478, 0.2500)
Te (0.4747, 0.9493, 0.0998)
Sr (0.4282, 0.8564, 0.2500)
Tl (0.2376, 0.4751, 0.8942)
Te (0.4747, 0.9493, 0.4002)

=====

Sr2TlTe | PBE | optimized geometry

Computed properties:
For the total magnetization, the calculation gives 0.38 μB/f.u. Its space group is Pmm2.

a = 6.8277 Å, b = 4.7820 Å, c = 4.7847 Å
α = 90.00°, β = 90.00°, γ = 90.00°
Atoms (fractional coordinates):
Tl (0.5000, 0.8738, 0.8751)
Sr (0.0000, 0.8762, 0.8749)
Sr (0.5000, 0.3739, 0.3751)
Te (0.0000, 0.3762, 0.3749)

=====

Sr2TlTe | PBE | optimized geometry

Computed properties:
For the total magnetization, the calculation gives 0.00 μB/f.u. Its space group is I-4m2.

a = 7.2475 Å, b = 7.2475 Å, c = 7.2475 Å
α = 141.52°, β = 141.52°, γ = 55.55°
Atoms (fractional coordinates):
Tl (0.7500, 0.2500, 0.5000)
Sr (0.0000, 0.0000, 0.0000)
Sr (0.2500, 0.7500, 0.5000)
Te (0.5000, 0.5000, 0.0000)

=====

Sr2TlTe2 | PBE | optimized geometry

Computed properties:
For the total magnetization, the calculation gives 0.00 μB/f.u. Its space group is P4/mbm.

a = 9.1058 Å, b = 9.1058 Å, c = 4.2665 Å
α = 90.00°, β = 90.00°, γ = 90.00°
Atoms (fractional coordinates):
Te (0.3415, 0.1585, 0.5000)
Sr (0.6462, 0.1462, 0.0000)
Te (0.1585, 0.6585, 0.5000)
Te (0.8415, 0.3415, 0.5000)
Sr (0.1462, 0.3538, 0.0000)
Tl (0.5000, 0.5000, 0.0000)
Sr (0.3538, 0.8538, 0.0000)
Tl (0.0000, 0.0000, 0.0000)
Sr (0.8538, 0.6462, 0.0000)
Te (0.6585, 0.8415, 0.5000)

=====

SrTlTe3 | PBE | optimized geometry

Computed properties:
For the total magnetization, the calculation gives 0.00 μB/f.u. Its space group is Pm-3m.

a = 5.8045 Å, b = 5.8045 Å, c = 5.8045 Å
α = 90.00°, β = 90.00°, γ = 90.00°
Atoms (fractional coordinates):
Te (0.0000, 0.5000, 0.0000)
Te (0.5000, 0.0000, 0.0000)
Sr (0.5000, 0.5000, 0.5000)
Tl (0.0000, 0.0000, 0.0000)
Te (0.0000, 0.0000, 0.5000)

=====

Sr2TlTe | PBE | optimized geometry

Computed properties:
For the total magnetization, the calculation gives 0.00 μB/f.u. Its space group is Cm.

a = 6.7529 Å, b = 6.7529 Å, c = 5.3658 Å
α = 79.76°, β = 79.76°, γ = 37.28°
Atoms (fractional coordinates):
Sr (0.0037, 0.0037, 0.1214)
Sr (0.7487, 0.7487, 0.6255)
Te (0.4775, 0.4775, 0.6434)
Tl (0.2701, 0.2701, 0.1097)

=====

Sr2TlTe | PBE | optimized geometry

Computed properties:
For the total magnetization, the calculation gives 0.00 μB/f.u. Its space group is I-42d.

a = 8.9051 Å, b = 8.9051 Å, c = 7.4889 Å
α = 53.52°, β = 53.52°, γ = 90.00°
Atoms (fractional coordinates):
Tl (0.0000, 0.0000, 0.0000)
Sr (0.3750, 0.3892, 0.7500)
Sr (0.8750, 0.8608, 0.7500)
Sr (0.6108, 0.1250, 0.2500)
Te (0.2500, 0.7500, 0.5000)
Sr (0.1392, 0.6250, 0.2500)
Tl (0.7500, 0.2500, 0.5000)
Te (0.5000, 0.5000, 0.0000)

=====

Sr2TlTe | PBE | optimized geometry

Computed properties:
For the total magnetization, the calculation gives 0.00 μB/f.u. Its space group is F-43m.

a = 5.8509 Å, b = 5.8509 Å, c = 5.8509 Å
α = 60.00°, β = 60.00°, γ = 60.00°
Atoms (fractional coordinates):
Sr (0.2500, 0.2500, 0.2500)
Tl (0.7500, 0.7500, 0.7500)
Sr (0.0000, 0.0000, 0.0000)
Te (0.5000, 0.5000, 0.5000)

=====

Sr2TlTe | PBE | optimized geometry

Computed properties:
For the total magnetization, the calculation gives 0.00 μB/f.u. Its space group is Cmmm.

a = 5.8367 Å, b = 5.8367 Å, c = 4.0720 Å
α = 89.94°, β = 89.94°, γ = 100.32°
Atoms (fractional coordinates):
Te (0.5000, 0.0000, 0.5000)
Tl (0.0000, 0.5000, 0.5000)
Sr (0.5000, 0.5000, 0.0000)
Sr (0.0000, 0.0000, 0.0000)

=====

SrTl3Te | PBE | optimized geometry

Computed properties:
For the total magnetization, the calculation gives 0.00 μB/f.u. Its space group is Pm-3m.

a = 6.1116 Å, b = 6.1116 Å, c = 6.1116 Å
α = 90.00°, β = 90.00°, γ = 90.00°
Atoms (fractional coordinates):
Tl (0.0000, 0.5000, 0.0000)
Tl (0.5000, 0.0000, 0.0000)
Te (0.0000, 0.0000, 0.0000)
Sr (0.5000, 0.5000, 0.5000)
Tl (0.0000, 0.0000, 0.5000)

=====

Looking at ΔE_f (raw) for the records above, in order, we have -1193, -868, -819, -907, -907, 462, -716, -112, -386, -754, -426, -817, -763, -1046, -242, -837, -712, -335, -837, 114 meV per atom.